(1)
Entry from Alexandria: a geometry-optimized Nd2TmPuSe4 structure (PBE).

## Properties
- crystal system = monoclinic
- uncorrected energy (eV/atom) = -7.0197
- space-group type = P2/m (10)
- formation energy from raw total energies (kJ per mole of atoms) = -167.40

Cell lengths 4.121, 7.184, 7.247 Å; angles 108.98, 90.00, 90.00 degrees
Atoms (fractional coordinates):
Se: 0.000 0.751 0.238
Se: 0.500 0.760 0.765
Se: 0.500 0.240 0.235
Se: 0.000 0.249 0.762
Nd: 0.000 0.500 0.500
Nd: 0.500 0.000 0.500
Pu: 0.500 0.500 0.000
Tm: 0.000 0.000 0.000

(2)
Entry from Alexandria: a geometry-optimized TcP2Pt structure (PBE).

## Properties
- energy of formation (eV/atom) = -0.172
- crystal system = monoclinic
- uncorrected energy (eV/atom) = -6.9787
- space-group type = C2/m (12)

Cell lengths 4.125, 4.125, 4.971 Å; angles 81.18, 81.18, 43.18 degrees
Atoms (fractional coordinates):
Tc: 0.250 0.250 0.250
P: 0.983 0.983 0.031
P: 0.517 0.517 0.469
Pt: 0.750 0.750 0.750

(3)
Entry from Alexandria: a geometry-optimized DyPuAu2 structure (PBE).

## Properties
- energy of formation (eV/atom) = -0.634
- crystal system = tetragonal
- uncorrected energy (eV/atom) = -7.0059
- space-group type = P4/mmm (123)

Cell lengths 3.581, 3.581, 7.376 Å; angles 90.00, 90.00, 90.00 degrees
Atoms (fractional coordinates):
Au: 0.000 0.000 0.267
Au: 0.000 0.000 0.733
Dy: 0.500 0.500 0.500
Pu: 0.500 0.500 0.000

(4)
Entry from Alexandria: a geometry-optimized SmHoSbSe structure (PBE).

## Properties
- crystal system = tetragonal
- uncorrected energy (eV/atom) = -5.6546
- space-group type = P4mm (99)
- formation energy from raw total energies (kJ per mole of atoms) = -137.85

Cell lengths 4.299, 4.300, 6.027 Å; angles 90.00, 90.00, 90.00 degrees
Atoms (fractional coordinates):
Sb: 0.500 0.392 0.593
Sm: 0.000 0.892 0.592
Ho: 0.500 0.391 0.093
Se: 0.000 0.891 0.092